# 1
VASP calculation (GGA+U) on a relaxed Rb2CaMoO4 crystal.

Geometry as POSCAR:
```
Rb2CaMoO4
1.0
6.200 0.000 0.000
3.100 6.840 0.000
3.100 0.000 11.510
O Mo Rb Ca
8 2 4 2
Cartesian
6.001 4.726 5.348
4.850 1.305 11.103
6.001 2.115 6.162
10.651 5.535 11.103
9.500 4.726 6.162
3.300 2.115 5.348
4.451 1.305 0.407
4.850 5.535 0.407
4.650 3.420 5.755
3.100 0.000 0.000
7.751 3.420 1.306
3.100 0.000 7.061
6.200 0.000 4.449
7.751 3.420 10.205
7.751 3.420 5.755
0.000 0.000 0.000
```

space-group type = Fddd, No. 70
crystal system = orthorhombic

# 2
VASP calculation (GGA+U) on a relaxed RbCaMo2O8 crystal.

Geometry as POSCAR:
```
RbCaMo2O8
1.0
-2.042 -6.073 -1.583
6.524 0.992 -0.114
-1.918 1.029 6.231
O Mo Ca Rb
8 2 1 1
Cartesian
-1.195 -1.161 4.469
2.467 -1.425 0.554
2.138 -4.229 -0.213
-0.923 -2.076 1.381
-2.289 -3.816 2.984
0.682 -4.291 2.672
1.720 -1.290 4.258
-0.907 -4.988 0.562
-0.859 -3.793 1.900
2.241 -2.541 -0.848
3.424 -0.260 2.635
0.000 0.000 0.000
```

density of states at the Fermi level = 11.42 states/eV per cell
space-group type = I-4m2, No. 119
crystal system = tetragonal

# 3
VASP calculation (GGA+U) on a relaxed CaReMoO6 crystal.

Geometry as POSCAR:
```
CaReMoO6
1.0
4.918 0.000 0.000
0.000 4.918 0.000
0.000 0.000 9.652
O Re Ca Mo
12 2 2 2
Cartesian
0.979 3.940 1.896
1.109 3.809 7.910
3.438 3.438 6.722
4.064 0.854 4.690
3.569 3.569 3.084
1.605 1.605 9.516
0.854 4.064 4.690
1.480 1.480 6.722
3.809 1.109 7.910
3.940 0.979 1.896
1.350 1.350 3.084
3.313 3.313 9.516
2.459 2.459 8.012
0.000 0.000 3.186
0.000 0.000 9.638
2.459 2.459 4.812
2.459 2.459 1.617
0.000 0.000 6.443
```

space-group type = P4_2nm, No. 102
crystal system = tetragonal

# 4
VASP calculation (GGA+U) on a relaxed CaMoRhO6 crystal.

Geometry as POSCAR:
```
CaMoRhO6
1.0
5.248 0.000 0.000
2.624 4.545 0.000
0.000 0.000 5.026
Mo Rh O Ca
1 1 6 1
Cartesian
5.248 3.030 2.513
2.624 1.515 2.513
6.177 1.692 1.437
4.553 4.503 3.589
4.319 1.692 3.589
5.942 4.503 1.437
6.871 2.894 3.589
3.624 2.894 1.437
5.248 0.000 5.026
```

density of states at the Fermi level = 5.60 states/eV per cell
space-group type = P312, No. 149
crystal system = trigonal

Number 1: E_tot -5.505 eV/atom. Number 2: E_tot -6.489 eV/atom. Number 3: E_tot -7.653 eV/atom. Number 4: E_tot -6.749 eV/atom.